# 1
YBeAu3 after structural relaxation, computed with PBE-GGA.

Output
E = -3.8693 eV per atom
formation enthalpy at 0 K = 0.135 eV per atom
volume = 32.3 Å³/atom

a b c (Å): 6.3989 6.3989 13.6518
angles (deg): 90.00 90.00 120.00
With the nearest neighbours (Å) after each atom.
Space group R3m (No. 160, hexagonal axes)
Asymmetric unit:
Y1 0.0000 0.0000 0.0000 x3  1 Be 2.87, 6 Au 2.91-2.98
Be1 0.0000 0.0000 0.7896 x3  3 Au 2.22
Au1 0.1866 0.3731 0.8496 x9  1 Be 2.22


# 2
TePb2Se after structural relaxation, computed with PBE-GGA.

Output
E = -3.9914 eV per atom
formation energy (no corrections) = -480.7 meV/atom
volume = 32.5 Å³/atom

a b c (Å): 4.5108 4.5108 22.0990
angles (deg): 90.00 90.00 120.00
With the nearest neighbours (Å) after each atom.
Space group R-3m (No. 166, hexagonal axes)
Asymmetric unit:
Te1 0.0000 0.0000 0.0000 x3  6 Pb 3.26
Pb1 0.0000 0.0000 0.2447 x6  3 Se 3.12, 3 Te 3.26
Se1 0.0000 0.0000 0.5000 x3  6 Pb 3.12


# 3
Pu2H2ICl after structural relaxation, computed with PBE-GGA.

Output
E = -7.2601 eV per atom
volume = 19.4 Å³/atom

a b c (Å): 3.9630 3.9630 8.5605
angles (deg): 90.00 90.00 120.00
With the nearest neighbours (Å) after each atom.
Space group P-3m1 (No. 164)
Asymmetric unit:
Pu1 0.3333 0.6667 0.2148 x2  3 H 2.29
H1 0.3333 0.6667 0.7748 x2  3 Pu 2.29
I1 0.0000 0.0000 0.5000 x1  6 H 3.28, 6 Pu 3.35
Cl1 0.0000 0.0000 0.0000 x1  6 Pu 2.94, 6 H 2.99


# 4
Mn3AlCo after structural relaxation, computed with PBE-GGA.

Output
E = -5.8883 eV per atom
formation enthalpy at 0 K = 1.783 eV per atom
volume = 14.3 Å³/atom

a b c (Å): 4.1482 4.1482 4.1482
angles (deg): 90.00 90.00 90.00
With the nearest neighbours (Å) after each atom.
Space group Pm-3m (No. 221)
Asymmetric unit:
Mn1 0.0000 0.0000 0.5000 x3  2 Al 2.07
Al1 0.0000 0.0000 0.0000 x1  6 Mn 2.07
Co1 0.5000 0.5000 0.5000 x1  12 Mn 2.93


# 5
ErPd4Au3 after structural relaxation, computed with PBE-GGA.

Output
E = -4.7078 eV per atom
formation enthalpy at 0 K = -0.312 eV per atom
volume = 18.2 Å³/atom

a b c (Å): 5.6053 9.5168 5.4610
angles (deg): 90.00 90.00 90.00
With the nearest neighbours (Å) after each atom.
Space group Imm2 (No. 44)
Asymmetric unit:
Er1 0.0000 0.0000 0.0000 x2  4 Pd 2.71-2.94, 4 Au 2.81-2.85
Pd1 0.0000 0.2614 0.8048 x4  1 Er 2.71, 5 Au 2.72-2.80, 2 Pd 2.93
Pd2 0.2472 0.5000 0.0290 x4  4 Pd 2.77-2.93, 1 Er 2.94, 4 Au 2.98-3.07
Au1 0.0000 0.2435 0.3047 x4  6 Pd 2.74-2.98, 1 Au 2.74, 1 Er 2.85
Au2 0.0000 0.5000 0.5307 x2  2 Pd 2.72, 2 Au 2.74, 2 Er 2.81


# 6
TiV2TcAg after structural relaxation, computed with PBE-GGA.

Output
E = -6.7622 eV per atom
formation enthalpy at 0 K = 1.108 eV per atom
volume = 19.6 Å³/atom

a b c (Å): 4.4095 4.4095 5.0512
angles (deg): 90.00 90.00 90.00
With the nearest neighbours (Å) after each atom.
Space group P4/mmm (No. 123)
Asymmetric unit:
Ti1 0.0000 0.0000 0.0000 x1  4 Ag 3.12, 8 V 3.35
V1 0.0000 0.5000 0.5000 x2  2 Tc 2.20
Tc1 0.5000 0.5000 0.5000 x1  4 V 2.20
Ag1 0.5000 0.5000 0.0000 x1  2 Tc 2.53


# 7
Ho6SbS5 after structural relaxation, computed with PBE-GGA.

Output
E = -6.1441 eV per atom
formation energy (no corrections) = -1791.9 meV/atom
volume = 22.2 Å³/atom

a b c (Å): 6.8648 11.8933 6.9191
angles (deg): 90.00 109.43 90.00
With the nearest neighbours (Å) after each atom.
Space group C2/m (No. 12)
Asymmetric unit:
Ho1 0.2362 0.1743 0.2327 x8  5 S 2.72-2.84, 1 Sb 2.96
Ho2 0.2385 0.0000 0.7633 x4  5 S 2.67-2.83, 1 Sb 2.95
Sb1 0.0000 0.5000 0.5000 x2  6 Ho 2.95-2.96
S1 0.0000 0.0000 0.0000 x2  6 Ho 2.67-2.79
S2 0.0000 0.1677 0.5000 x4  6 Ho 2.83-2.84
S3 0.0000 0.3404 0.0000 x4  6 Ho 2.72-2.80


# 8
PrTl4Pb15 after structural relaxation, computed with PBE-GGA.

Output
E = -3.5459 eV per atom
formation enthalpy at 0 K = -0.052 eV per atom
volume = 31.1 Å³/atom

a b c (Å): 4.9593 4.9593 25.3237
angles (deg): 90.00 90.00 90.00
With the nearest neighbours (Å) after each atom.
Space group P4/mmm (No. 123)
Asymmetric unit:
Pr1 0.0000 0.0000 0.0000 x1  12 Pb 3.51-3.52
Tl1 0.0000 0.0000 0.2010 x2  12 Pb 3.51-3.58
Tl2 0.0000 0.0000 0.3998 x2  12 Pb 3.51-3.55
Pb1 0.0000 0.5000 0.0989 x4  8 Pb 3.51-3.57, 2 Pr 3.52, 2 Tl 3.58
Pb2 0.0000 0.5000 0.2994 x4  8 Pb 3.51-3.54, 4 Tl 3.52-3.55
Pb3 0.0000 0.5000 0.5000 x2  8 Pb 3.51-3.56, 4 Tl 3.55
Pb4 0.5000 0.5000 0.0000 x1  4 Pr 3.51, 8 Pb 3.52
Pb5 0.5000 0.5000 0.2001 x2  4 Tl 3.51, 8 Pb 3.53-3.57
Pb6 0.5000 0.5000 0.3993 x2  4 Tl 3.51, 8 Pb 3.54-3.56


# 9
BeNb2Pb2 after structural relaxation, computed with PBE-GGA.

Output
E = -5.4128 eV per atom
formation enthalpy at 0 K = 0.844 eV per atom
volume = 23.8 Å³/atom

a b c (Å): 3.6591 3.6591 17.7483
angles (deg): 90.00 90.00 90.00
With the nearest neighbours (Å) after each atom.
Space group I4/mmm (No. 139)
Asymmetric unit:
Be1 0.0000 0.0000 0.0000 x2  8 Pb 3.14
Nb1 0.0000 0.5000 0.2500 x4  4 Nb 2.59
Pb1 0.0000 0.0000 0.3998 x4  4 Be 3.14, 4 Nb 3.23


# 10
SrLaPb2F after structural relaxation, computed with PBE-GGA.

Output
E = -4.2894 eV per atom
formation energy (no corrections) = -1109.9 meV/atom
volume = 30.8 Å³/atom

a b c (Å): 5.7453 5.7453 4.6730
angles (deg): 90.00 90.00 90.00
With the nearest neighbours (Å) after each atom.
Space group P4/mmm (No. 123)
Asymmetric unit:
Sr1 0.0000 0.0000 0.0000 x1  8 Pb 3.70, 4 La 4.06
La1 0.5000 0.5000 0.0000 x1  2 F 2.34
Pb1 0.0000 0.5000 0.5000 x2  2 F 2.87
F1 0.5000 0.5000 0.5000 x1  2 La 2.34


# 11
Ni4OsPt after structural relaxation, computed with PBE-GGA.

Output
E = -6.5819 eV per atom
formation enthalpy at 0 K = 0.151 eV per atom
volume = 12.2 Å³/atom

a b c (Å): 6.6378 6.6378 6.6378
angles (deg): 90.00 90.00 90.00
With the nearest neighbours (Å) after each atom.
Space group F-43m (No. 216)
Asymmetric unit:
Ni1 0.1252 0.1252 0.1252 x16  6 Ni 2.34-2.35
Os1 0.0000 0.0000 0.5000 x4  12 Ni 2.75, 4 Pt 2.87
Pt1 0.2500 0.2500 0.7500 x4  12 Ni 2.75, 4 Os 2.87


# 12
SrTlCr4 after structural relaxation, computed with PBE-GGA.

Output
E = -6.2324 eV per atom
formation enthalpy at 0 K = 0.858 eV per atom
volume = 16.9 Å³/atom

a b c (Å): 7.3955 7.3955 7.3955
angles (deg): 90.00 90.00 90.00
With the nearest neighbours (Å) after each atom.
Space group F-43m (No. 216)
Asymmetric unit:
Sr1 0.0000 0.0000 0.0000 x4  12 Cr 3.05, 4 Tl 3.20
Tl1 0.2500 0.2500 0.7500 x4  12 Cr 3.08, 4 Sr 3.20
Cr1 0.1311 0.1311 0.3689 x16  6 Cr 2.49-2.74


# 13
Ac9Pm2Nd after structural relaxation, computed with PBE-GGA.

Output
E = -4.2476 eV per atom
formation enthalpy at 0 K = 0.023 eV per atom
volume = 42.2 Å³/atom

a b c (Å): 5.5248 5.5248 16.5761
angles (deg): 90.00 90.00 90.00
With the nearest neighbours (Å) after each atom.
Space group P4/mmm (No. 123)
Asymmetric unit:
Ac1 0.0000 0.0000 0.0000 x1  4 Nd 3.91, 8 Ac 3.91
Ac2 0.0000 0.0000 0.3336 x2  8 Ac 3.90-3.91, 4 Pm 3.91
Ac3 0.0000 0.5000 0.1671 x4  2 Pm 3.91, 8 Ac 3.91, 2 Nd 3.91
Ac4 0.0000 0.5000 0.5000 x2  8 Ac 3.90-3.91, 4 Pm 3.90
Pm1 0.5000 0.5000 0.3336 x2  12 Ac 3.90-3.91
Nd1 0.5000 0.5000 0.0000 x1  12 Ac 3.91


# 14
LiLa2Pd3 after structural relaxation, computed with PBE-GGA.

Output
E = -5.2206 eV per atom
formation enthalpy at 0 K = -0.663 eV per atom
volume = 22.4 Å³/atom

a b c (Å): 7.6989 8.9879 15.5454
angles (deg): 90.00 90.00 90.00
With the nearest neighbours (Å) after each atom.
Space group Fmmm (No. 69)
Asymmetric unit:
Li1 0.0000 0.0000 0.1668 x8  3 Pd 2.46-2.47
La1 0.2432 0.0000 0.5000 x8  10 Pd 3.20-3.31, 2 Li 3.26
La2 0.2500 0.2500 0.2500 x8  8 Pd 3.18-3.19, 4 Li 3.23
Pd1 0.0000 0.0000 0.3260 x8  1 Li 2.47, 2 Pd 2.73
Pd2 0.0000 0.2363 0.0874 x16  1 Li 2.46, 2 Pd 2.72-2.73


# 15
Y2ErBi after structural relaxation, computed with PBE-GGA.

Output
E = -5.5214 eV per atom
formation enthalpy at 0 K = -0.178 eV per atom
volume = 33.6 Å³/atom

a b c (Å): 4.0461 4.0461 28.4253
angles (deg): 90.00 90.00 120.00
With the nearest neighbours (Å) after each atom.
Space group R3m (No. 160, hexagonal axes)
Asymmetric unit:
Y1 0.0000 0.0000 0.0000 x3  3 Bi 3.07
Y2 0.0000 0.0000 0.1921 x3  3 Bi 3.09
Er1 0.0000 0.0000 0.7624 x3  6 Y 3.59-3.60
Bi1 0.0000 0.0000 0.5965 x3  6 Y 3.07-3.09


# 16
TaInGaH2 after structural relaxation, computed with PBE-GGA.

Output
E = -4.1392 eV per atom
volume = 17.1 Å³/atom

a b c (Å): 3.7837 3.7837 5.9884
angles (deg): 90.00 90.00 90.00
With the nearest neighbours (Å) after each atom.
Space group P4/mmm (No. 123)
Asymmetric unit:
Ta1 0.0000 0.0000 0.0000 x1  4 Ga 2.68, 2 In 2.99
In1 0.0000 0.0000 0.5000 x1  4 H 1.89
Ga1 0.5000 0.5000 0.0000 x1  4 Ta 2.68
H1 0.0000 0.5000 0.5000 x2  2 In 1.89


# 17
Be3Fe after structural relaxation, computed with PBE-GGA.

Output
E = -4.9071 eV per atom
formation enthalpy at 0 K = 0.003 eV per atom
volume = 8.9 Å³/atom

a b c (Å): 2.3736 2.3736 7.3344
angles (deg): 90.00 90.00 120.00
With the nearest neighbours (Å) after each atom.
Space group P-6m2 (No. 187)
Asymmetric unit:
Be1 0.0000 0.0000 0.0000 x1  12 Be 2.27-2.37
Be2 0.3333 0.6667 0.2459 x2  9 Be 2.27-2.37, 3 Fe 2.31
Fe1 0.0000 0.0000 0.5000 x1  6 Be 2.31, 6 Fe 2.37


# 18
SmScCd3 after structural relaxation, computed with PBE-GGA.

Output
E = -3.0393 eV per atom
formation enthalpy at 0 K = -0.280 eV per atom
volume = 24.3 Å³/atom

a b c (Å): 3.3838 29.1421 4.9271
angles (deg): 90.00 90.00 90.00
With the nearest neighbours (Å) after each atom.
Space group Cmcm (No. 63)
Asymmetric unit:
Sm1 0.0000 0.0765 0.2500 x4  12 Cd 3.33-3.50, 2 Sm 3.38
Sc1 0.0000 0.2167 0.7500 x4  7 Cd 2.96-3.16
Cd1 0.0000 0.3183 0.7500 x4  2 Cd 2.94, 5 Sc 2.96-3.16
Cd2 0.0000 0.3734 0.2500 x4  3 Cd 2.94-2.96, 2 Sc 3.12
Cd3 0.0000 0.4749 0.2500 x4  3 Cd 2.87-2.96


# 19
BaAl12Cu6 after structural relaxation, computed with PBE-GGA.

Output
E = -3.8933 eV per atom
formation enthalpy at 0 K = -0.135 eV per atom
volume = 17.1 Å³/atom

a b c (Å): 11.3829 11.3829 8.6761
angles (deg): 90.00 90.00 120.00
With the nearest neighbours (Å) after each atom.
Space group R-3m (No. 166, hexagonal axes)
Asymmetric unit:
Ba1 0.0000 0.0000 0.0000 x3  6 Al 3.43, 6 Cu 3.73
Al1 0.0000 0.3779 0.5000 x18  4 Cu 2.45-2.51
Al2 0.0864 0.1728 0.3427 x18  3 Cu 2.50-2.57
Cu1 0.0401 0.5200 0.2634 x18  7 Al 2.45-2.57


# 20
Al4F after structural relaxation, computed with PBE-GGA.

Output
E = -3.5713 eV per atom
formation energy (no corrections) = -203.0 meV/atom
volume = 16.9 Å³/atom

a b c (Å): 4.3910 4.3910 4.3910
angles (deg): 90.00 90.00 90.00
With the nearest neighbours (Å) after each atom.
Space group Pm-3m (No. 221)
Asymmetric unit:
Al1 0.0000 0.0000 0.0000 x1  12 Al 3.10
Al2 0.0000 0.5000 0.5000 x3  2 F 2.20
F1 0.5000 0.5000 0.5000 x1  6 Al 2.20